No. 1
# CsAgBr2

A relaxed structure of CsAgBr2 (GGA-PBEsol, Alexandria).

Unit cell a=8.4128 b=8.4128 c=8.4128 alpha=39.39 beta=39.39 gamma=39.39
Fractional positions:
Cs  0.0000  0.0000  0.0000
Ag  0.5000  0.5000  0.5000
Br  0.3960  0.3960  0.3960
Br  0.6040  0.6040  0.6040

Values from the calculation:
Fermi-level density of states: 0.0 states/eV/cell
total energy: -2.95 eV per atom
symmetry: R-3m (166)
size of the total moment: 0.00 Bohr magnetons per cell


No. 2
# Re2TeAs

A relaxed structure of Re2TeAs (GGA-PBEsol, Alexandria).

Unit cell a=2.9005 b=2.9005 c=9.9428 alpha=90.00 beta=90.00 gamma=118.40
Fractional positions:
Re  0.0000  0.0000  0.0000
Re  0.5000  0.5000  0.2107
Te  0.5000  0.5000  0.7554
As  0.0000  0.0000  0.4256

Values from the calculation:
Fermi-level density of states: 3.5 states/eV/cell
total energy: -8.20 eV per atom
symmetry: Cmm2 (35)
size of the total moment: 0.00 Bohr magnetons per cell